No. 1
DFT (PBE) results for an optimized crystal structure of TlGaSeN2.

a b c (Å): 4.379 4.379 5.933
angles (deg): 90.00 90.00 90.00
Site moments in Bohr magnetons follow the coordinates.
Fractional coordinates of all 5 atoms:
1 Se 0.000 0.000 0.500  0.24
2 N 0.500 0.000 0.000  1.05
3 N 0.000 0.500 0.000  1.05
4 Ga 0.500 0.500 0.500  0.03
5 Tl 0.000 0.000 0.000  -0.01

The total magnetization comes out at 3.44 μB/f.u. Its total DFT energy (no corrections) is -3.468 eV per atom.


No. 2
DFT (PBE) results for an optimized crystal structure of Ca4Tl2Cd.

a b c (Å): 5.840 5.840 8.854
angles (deg): 70.74 70.74 90.00
Fractional coordinates of all 7 atoms:
1 Ca 0.196 0.196 0.609
2 Ca 0.000 0.500 0.000
3 Ca 0.804 0.804 0.391
4 Ca 0.500 0.000 0.000
5 Tl 0.605 0.605 0.789
6 Tl 0.395 0.395 0.211
7 Cd 0.000 0.000 0.000

As for the energy relative to the elements: -61 meV per atom. The total magnetization comes out at 0.00 μB/f.u.


No. 3
DFT (PBE) results for an optimized crystal structure of AlCd2P.

a b c (Å): 6.207 6.207 5.149
angles (deg): 65.54 65.54 26.29
Fractional coordinates of all 4 atoms:
1 P 0.750 0.750 0.750
2 Al 0.250 0.250 0.250
3 Cd 0.486 0.486 0.514
4 Cd 0.014 0.014 0.986

As for the energy relative to the elements: 237 meV per atom. The total magnetization comes out at 0.00 μB/f.u.


No. 4
DFT (PBE) results for an optimized crystal structure of La8Co3TcI4.

a b c (Å): 8.279 9.573 8.283
angles (deg): 115.69 119.98 90.00
Fractional coordinates of all 16 atoms:
1 I 0.000 0.000 0.000
2 I 0.500 0.000 0.000
3 I 0.000 0.000 0.500
4 I 0.500 0.000 0.500
5 Co 0.500 0.500 0.500
6 Co 0.500 0.500 0.000
7 Co 0.000 0.500 0.500
8 Tc 0.000 0.500 0.000
9 La 0.729 0.686 0.957
10 La 0.771 0.315 0.543
11 La 0.271 0.314 0.043
12 La 0.726 0.678 0.451
13 La 0.229 0.685 0.457
14 La 0.772 0.314 0.043
15 La 0.228 0.686 0.957
16 La 0.274 0.322 0.549

The total magnetization comes out at 0.00 μB/f.u. Its total DFT energy (no corrections) is -5.460 eV per atom.


No. 5
DFT (PBE) results for an optimized crystal structure of Dy7In2Ni2.

a b c (Å): 6.816 6.938 6.816
angles (deg): 89.99 108.68 90.01
Fractional coordinates of all 11 atoms:
1 Dy 0.000 0.000 0.000
2 Dy 0.500 0.245 0.000
3 Dy 0.000 0.755 0.500
4 Dy 0.000 0.245 0.500
5 Dy 0.500 0.237 0.500
6 Dy 0.500 0.755 0.000
7 Dy 0.500 0.763 0.500
8 In 0.176 0.500 0.176
9 In 0.824 0.500 0.824
10 Ni 0.706 0.000 0.294
11 Ni 0.294 0.000 0.706

As for the energy relative to the elements: -230 meV per atom. The total magnetization comes out at 0.00 μB/f.u.


No. 6
DFT (PBE) results for an optimized crystal structure of PmEr2N.

a b c (Å): 3.468 3.468 9.219
angles (deg): 79.16 79.16 60.00
Fractional coordinates of all 4 atoms:
1 Er 0.716 0.716 0.851
2 Er 0.284 0.284 0.149
3 N 0.000 0.000 0.000
4 Pm 0.500 0.500 0.500

The total magnetization comes out at 0.00 μB/f.u. Its total DFT energy (no corrections) is -6.362 eV per atom.


No. 7
DFT (PBE) results for an optimized crystal structure of UTiBi2.

a b c (Å): 3.827 5.162 5.162
angles (deg): 90.00 90.00 90.00
Site moments in Bohr magnetons follow the coordinates.
Fractional coordinates of all 4 atoms:
1 Bi 0.000 0.500 0.000  0.12
2 Bi 0.000 0.000 0.500  0.12
3 U 0.500 0.000 0.000  -2.26
4 Ti 0.500 0.500 0.500  -1.13

As for the energy relative to the elements: 130 meV per atom. The total magnetization comes out at 3.88 μB/f.u.


No. 8
DFT (PBE) results for an optimized crystal structure of Cu2MoRh.

a b c (Å): 4.783 4.783 2.681
angles (deg): 90.00 90.00 116.56
Fractional coordinates of all 4 atoms:
1 Rh 0.000 0.500 0.500
2 Cu 0.000 0.000 0.000
3 Cu 0.500 0.500 0.000
4 Mo 0.500 0.000 0.500

As for the energy relative to the elements: 194 meV per atom. The total magnetization comes out at 0.00 μB/f.u.


No. 9
DFT (PBE) results for an optimized crystal structure of Nd3Sm4Tm2.

a b c (Å): 6.250 6.259 13.030
angles (deg): 118.60 103.98 119.97
Fractional coordinates of all 9 atoms:
1 Sm 0.665 0.331 0.000
2 Sm 0.110 0.221 0.334
3 Sm 0.890 0.779 0.666
4 Sm 0.335 0.669 0.000
5 Nd 0.553 0.109 0.665
6 Nd 0.000 0.000 0.000
7 Nd 0.447 0.891 0.335
8 Tm 0.780 0.559 0.335
9 Tm 0.220 0.441 0.665

As for the energy relative to the elements: 17 meV per atom. The total magnetization comes out at 0.00 μB/f.u.


No. 10
DFT (PBE) results for an optimized crystal structure of Ca2La2Y.

a b c (Å): 3.738 3.738 15.626
angles (deg): 90.00 90.00 120.00
Fractional coordinates of all 5 atoms:
1 La 0.333 0.667 0.814
2 La 0.667 0.333 0.186
3 Y 0.000 0.000 0.000
4 Ca 0.667 0.333 0.605
5 Ca 0.333 0.667 0.395

As for the energy relative to the elements: 28 meV per atom. The total magnetization comes out at 0.00 μB/f.u.


No. 11
DFT (PBE) results for an optimized crystal structure of LiHo2Pt.

a b c (Å): 3.666 4.843 4.843
angles (deg): 90.00 90.00 90.00
Fractional coordinates of all 4 atoms:
1 Pt 0.500 0.000 0.000
2 Ho 0.000 0.500 0.000
3 Ho 0.000 0.000 0.500
4 Li 0.500 0.500 0.500

As for the energy relative to the elements: -653 meV per atom. The total magnetization comes out at 0.00 μB/f.u.


No. 12
DFT (PBE) results for an optimized crystal structure of Ta2PO.

a b c (Å): 4.233 4.233 4.233
angles (deg): 60.00 60.00 60.00
Fractional coordinates of all 4 atoms:
1 Ta 0.750 0.750 0.750
2 Ta 0.250 0.250 0.250
3 P 0.500 0.500 0.500
4 O 0.000 0.000 0.000

The total magnetization comes out at 0.00 μB/f.u. Its total DFT energy (no corrections) is -9.157 eV per atom.


No. 13
DFT (PBE) results for an optimized crystal structure of TmMg11Au.

a b c (Å): 5.715 7.648 7.713
angles (deg): 82.54 68.26 69.49
Fractional coordinates of all 13 atoms:
1 Mg 0.299 0.214 0.205
2 Mg 0.988 0.356 0.658
3 Mg 0.354 0.644 0.658
4 Mg 0.000 0.000 0.500
5 Mg 0.504 0.214 0.795
6 Mg 0.000 0.500 0.000
7 Mg 0.500 0.000 0.500
8 Mg 0.701 0.786 0.795
9 Mg 0.646 0.356 0.342
10 Mg 0.012 0.644 0.342
11 Mg 0.496 0.786 0.205
12 Au 0.500 0.500 0.000
13 Tm 0.000 0.000 0.000

As for the energy relative to the elements: -113 meV per atom. The total magnetization comes out at 0.00 μB/f.u.


No. 14
DFT (PBE) results for an optimized crystal structure of Tb2Pr7Dy.

a b c (Å): 5.676 9.449 9.449
angles (deg): 123.70 90.00 90.00
Fractional coordinates of all 10 atoms:
1 Pr 0.500 0.933 0.707
2 Pr 0.000 0.221 0.779
3 Pr 0.500 0.707 0.933
4 Pr 0.000 0.779 0.221
5 Pr 0.500 0.293 0.067
6 Pr 0.500 0.067 0.293
7 Pr 0.500 0.500 0.500
8 Tb 0.500 0.295 0.705
9 Tb 0.500 0.705 0.295
10 Dy 0.000 0.000 0.000

As for the energy relative to the elements: 624 meV per atom. The total magnetization comes out at 0.00 μB/f.u.


No. 15
DFT (PBE) results for an optimized crystal structure of RbBe2CrBr8.

a b c (Å): 6.351 6.351 10.943
angles (deg): 73.13 73.13 60.00
Site moments in Bohr magnetons follow the coordinates.
Fractional coordinates of all 12 atoms:
1 Br 0.957 0.627 0.146  -0.03
2 Br 0.194 0.194 0.417  -0.01
3 Br 0.806 0.806 0.583  -0.01
4 Br 0.270 0.957 0.146  -0.03
5 Br 0.627 0.270 0.146  -0.03
6 Br 0.043 0.373 0.854  -0.03
7 Br 0.730 0.043 0.854  -0.03
8 Br 0.373 0.730 0.854  -0.03
9 Be 0.737 0.737 0.790  0.01
10 Be 0.263 0.263 0.210  0.01
11 Cr 0.000 0.000 0.000  2.93
12 Rb 0.500 0.500 0.500  0.00

The total magnetization comes out at 2.99 μB/f.u. Its total DFT energy (no corrections) is -3.617 eV per atom.


No. 16
DFT (PBE) results for an optimized crystal structure of Ba2Hg3Au2.

a b c (Å): 4.687 6.352 7.761
angles (deg): 91.01 90.00 111.65
Fractional coordinates of all 7 atoms:
1 Hg 0.328 0.655 0.151
2 Hg 0.000 0.000 0.000
3 Hg 0.672 0.345 0.849
4 Au 0.087 0.175 0.632
5 Au 0.913 0.825 0.368
6 Ba 0.628 0.256 0.312
7 Ba 0.372 0.744 0.688

As for the energy relative to the elements: -521 meV per atom. The total magnetization comes out at 0.00 μB/f.u.


No. 17
DFT (PBE) results for an optimized crystal structure of HfBeRu.

a b c (Å): 3.158 3.158 4.931
angles (deg): 108.68 108.68 90.00
Fractional coordinates of all 3 atoms:
1 Be 0.642 0.642 0.284
2 Ru 0.258 0.258 0.516
3 Hf 0.950 0.950 0.900

As for the energy relative to the elements: -396 meV per atom. The total magnetization comes out at 0.00 μB/f.u.


No. 18
DFT (PBE) results for an optimized crystal structure of SrNdMgGa.

a b c (Å): 5.492 5.492 5.492
angles (deg): 60.00 60.00 60.00
Fractional coordinates of all 4 atoms:
1 Ga 0.250 0.250 0.250
2 Sr 0.500 0.500 0.500
3 Mg 0.750 0.750 0.750
4 Nd 0.000 0.000 0.000

As for the energy relative to the elements: -224 meV per atom. The total magnetization comes out at 0.00 μB/f.u.


No. 19
DFT (PBE) results for an optimized crystal structure of CaAlRuC2.

a b c (Å): 4.134 5.210 4.134
angles (deg): 90.00 90.00 90.00
Fractional coordinates of all 5 atoms:
1 C 0.500 0.000 0.000
2 C 0.000 0.000 0.500
3 Ru 0.500 0.500 0.500
4 Ca 0.000 0.000 0.000
5 Al 0.000 0.500 0.000

As for the energy relative to the elements: 2950 meV per atom. The total magnetization comes out at 0.00 μB/f.u.


No. 20
DFT (PBE) results for an optimized crystal structure of CaCuMo2.

a b c (Å): 5.605 5.605 5.605
angles (deg): 140.26 140.26 57.46
Fractional coordinates of all 4 atoms:
1 Mo 0.500 0.500 0.000
2 Mo 0.000 0.000 0.000
3 Ca 0.250 0.750 0.500
4 Cu 0.750 0.250 0.500

As for the energy relative to the elements: 656 meV per atom. The total magnetization comes out at 0.00 μB/f.u.


Volume for every record listed, in sequence, given in Å³ per cell: 113.79 267.14 79.54 492.31 305.36 93.75 101.97 54.85 300.40 189.13 85.99 53.64 293.25 421.66 360.18 214.70 43.84 117.13 89.02 71.35.